1.
8
Lattice="2.487 1.436 8.113 -2.487 1.436 8.113 0.000 -2.871 8.113" Properties=species:S:1:pos:R:3 comment="Er4CdIrPd2 PBE optimized geometry" delta_e_f_ev_per_atom=-0.78 pbc="T T T"
Er 0.000 0.000 2.848
Er 0.000 0.000 8.966
Er 0.000 0.000 15.374
Er 0.000 0.000 21.492
Cd 0.000 0.000 12.170
Ir 0.000 0.000 0.000
Pd 0.000 0.000 5.959
Pd 0.000 0.000 18.382

---

2.
4
Lattice="0.000 3.623 3.623 3.623 0.000 3.623 3.623 3.623 0.000" Properties=species:S:1:pos:R:3 comment="PrErCdIr PBE optimized geometry" delta_e_f_ev_per_atom=-0.46 pbc="T T T"
Pr 0.000 0.000 0.000
Er 3.623 3.623 3.623
Cd 1.812 1.812 1.812
Ir 5.435 5.435 5.435

---

3.
8
Lattice="2.462 1.422 8.035 -2.462 1.422 8.035 0.000 -2.843 8.035" Properties=species:S:1:pos:R:3 comment="Er4CdIr2Pt PBE optimized geometry" delta_e_f_ev_per_atom=-0.83 pbc="T T T"
Er 0.000 0.000 2.909
Er 0.000 0.000 8.940
Er 0.000 0.000 15.165
Er 0.000 0.000 21.196
Cd 0.000 0.000 12.052
Ir 0.000 0.000 5.956
Ir 0.000 0.000 18.149
Pt 0.000 0.000 0.000

---

4.
4
Lattice="0.000 3.310 3.310 3.310 0.000 3.310 3.310 3.310 0.000" Properties=species:S:1:pos:R:3 comment="ErCdIrRh PBE optimized geometry" delta_e_f_ev_per_atom=-0.47 pbc="T T T"
Er 0.000 0.000 0.000
Cd 3.310 3.310 3.310
Ir 4.966 4.966 4.966
Rh 1.655 1.655 1.655

---

5.
8
Lattice="2.449 1.414 8.009 -2.449 1.414 8.009 0.000 -2.828 8.009" Properties=species:S:1:pos:R:3 comment="Er4CdIr2Rh PBE optimized geometry" delta_e_f_ev_per_atom=-0.77 pbc="T T T"
Er 0.000 0.000 2.874
Er 0.000 0.000 8.910
Er 0.000 0.000 15.118
Er 0.000 0.000 21.154
Cd 0.000 0.000 12.014
Ir 0.000 0.000 5.978
Ir 0.000 0.000 18.050
Rh 0.000 0.000 0.000

---

6.
8
Lattice="2.448 1.413 8.066 -2.448 1.413 8.066 0.000 -2.827 8.066" Properties=species:S:1:pos:R:3 comment="Er4CdIrRh2 PBE optimized geometry" delta_e_f_ev_per_atom=-0.76 pbc="T T T"
Er 0.000 0.000 2.861
Er 0.000 0.000 8.953
Er 0.000 0.000 15.246
Er 0.000 0.000 21.338
Cd 0.000 0.000 12.099
Ir 0.000 0.000 0.000
Rh 0.000 0.000 6.017
Rh 0.000 0.000 18.182

---

7.
20
Lattice="11.549 0.000 0.000 0.000 11.549 0.000 0.000 0.000 3.464" Properties=species:S:1:pos:R:3 comment="Er5Cd2IrRu2 PBE optimized geometry" delta_e_f_ev_per_atom=-0.38 pbc="T T T"
Er 0.000 5.774 0.000
Er 0.772 2.249 0.000
Er 2.249 10.777 0.000
Er 3.526 5.003 0.000
Er 5.003 8.023 0.000
Er 5.774 0.000 0.000
Er 6.546 3.526 0.000
Er 8.023 6.546 0.000
Er 9.300 0.772 0.000
Er 10.777 9.300 0.000
Cd 2.083 7.857 1.732
Cd 3.692 2.083 1.732
Cd 7.857 9.466 1.732
Cd 9.466 3.692 1.732
Ir 0.000 0.000 1.732
Ir 5.774 5.774 1.732
Ru 1.536 4.238 1.732
Ru 4.238 10.013 1.732
Ru 7.310 1.536 1.732
Ru 10.013 7.310 1.732

---

8.
20
Lattice="11.474 0.000 0.000 0.000 11.474 0.000 0.000 0.000 3.558" Properties=species:S:1:pos:R:3 comment="Er5Cd2Ir2Ru PBE optimized geometry" delta_e_f_ev_per_atom=-0.50 pbc="T T T"
Er 0.000 5.737 0.000
Er 0.778 2.236 0.000
Er 2.236 10.696 0.000
Er 3.501 4.959 0.000
Er 4.959 7.973 0.000
Er 5.737 0.000 0.000
Er 6.515 3.501 0.000
Er 7.973 6.515 0.000
Er 9.238 0.778 0.000
Er 10.696 9.238 0.000
Cd 2.045 7.782 1.779
Cd 3.692 2.045 1.779
Cd 7.782 9.429 1.779
Cd 9.429 3.692 1.779
Ir 1.520 4.217 1.779
Ir 4.217 9.954 1.779
Ir 7.257 1.520 1.779
Ir 9.954 7.257 1.779
Ru 0.000 0.000 1.779
Ru 5.737 5.737 1.779

---

9.
8
Lattice="2.438 1.408 8.009 -2.438 1.408 8.009 0.000 -2.816 8.009" Properties=species:S:1:pos:R:3 comment="Er4CdIr2Ru PBE optimized geometry" delta_e_f_ev_per_atom=-0.65 pbc="T T T"
Er 0.000 0.000 2.857
Er 0.000 0.000 8.907
Er 0.000 0.000 15.120
Er 0.000 0.000 21.171
Cd 0.000 0.000 12.014
Ir 0.000 0.000 5.981
Ir 0.000 0.000 18.046
Ru 0.000 0.000 0.000

---

10.
4
Lattice="0.000 3.553 3.553 3.553 0.000 3.553 3.553 3.553 0.000" Properties=species:S:1:pos:R:3 comment="TbErCdIr PBE optimized geometry" delta_e_f_ev_per_atom=-0.56 pbc="T T T"
Tb 0.000 0.000 0.000
Er 3.553 3.553 3.553
Cd 5.329 5.329 5.329
Ir 1.776 1.776 1.776

---

11.
4
Lattice="0.000 3.628 3.628 3.628 0.000 3.628 3.628 3.628 0.000" Properties=species:S:1:pos:R:3 comment="ErThCdIr PBE optimized geometry" delta_e_f_ev_per_atom=-0.43 pbc="T T T"
Er 0.000 0.000 0.000
Th 3.628 3.628 3.628
Cd 5.442 5.442 5.442
Ir 1.814 1.814 1.814

---

12.
4
Lattice="0.000 3.521 3.521 3.521 0.000 3.521 3.521 3.521 0.000" Properties=species:S:1:pos:R:3 comment="ErTmCdIr PBE optimized geometry" delta_e_f_ev_per_atom=-0.59 pbc="T T T"
Er 0.000 0.000 0.000
Tm 3.521 3.521 3.521
Cd 1.760 1.760 1.760
Ir 5.281 5.281 5.281

---

13.
4
Lattice="0.000 3.362 3.362 3.362 0.000 3.362 3.362 3.362 0.000" Properties=species:S:1:pos:R:3 comment="ErZnCdIr PBE optimized geometry" delta_e_f_ev_per_atom=-0.30 pbc="T T T"
Er 0.000 0.000 0.000
Zn 5.044 5.044 5.044
Cd 3.362 3.362 3.362
Ir 1.681 1.681 1.681

---

14.
4
Lattice="0.000 3.465 3.465 3.465 0.000 3.465 3.465 3.465 0.000" Properties=species:S:1:pos:R:3 comment="ErZrCdIr PBE optimized geometry" delta_e_f_ev_per_atom=-0.43 pbc="T T T"
Er 0.000 0.000 0.000
Zr 3.465 3.465 3.465
Cd 5.198 5.198 5.198
Ir 1.733 1.733 1.733

---

15.
6
Lattice="0.000 4.287 4.287 4.287 0.000 4.287 4.287 4.287 0.000" Properties=species:S:1:pos:R:3 comment="KErCd4 PBE optimized geometry" delta_e_f_ev_per_atom=-0.04 pbc="T T T"
K 0.000 0.000 0.000
Er 2.143 2.143 2.143
Cd 5.355 3.219 3.219
Cd 3.219 5.355 3.219
Cd 3.219 3.219 5.355
Cd 5.355 5.355 5.355

---

16.
4
Lattice="0.000 3.924 3.924 3.924 0.000 3.924 3.924 3.924 0.000" Properties=species:S:1:pos:R:3 comment="KErCdPb PBE optimized geometry" delta_e_f_ev_per_atom=-0.11 pbc="T T T"
K 0.000 0.000 0.000
Er 3.924 3.924 3.924
Cd 5.886 5.886 5.886
Pb 1.962 1.962 1.962

---

17.
6
Lattice="4.981 0.000 0.000 -2.490 4.314 0.000 0.000 0.000 8.927" Properties=species:S:1:pos:R:3 comment="KErCd2Pb2 PBE optimized geometry" delta_e_f_ev_per_atom=-0.22 pbc="T T T"
K 0.000 0.000 0.000
Er 0.000 0.000 4.464
Cd 0.000 2.876 5.747
Cd 2.490 1.438 3.180
Pb 0.000 2.876 2.338
Pb 2.490 1.438 6.589

---

18.
12
Lattice="8.572 0.000 0.000 0.000 4.100 0.000 -3.068 0.000 9.526" Properties=species:S:1:pos:R:3 comment="KErCdS3 PBE optimized geometry" raw_formation_energy_ev_per_atom=-1.39 pbc="T T T"
K 1.137 1.025 2.093
K 4.366 3.075 7.433
Er 0.186 3.075 8.246
Er 5.317 1.025 1.280
Cd -1.153 1.025 5.832
Cd 6.657 3.075 3.693
S -1.693 1.025 8.265
S 0.273 3.075 5.260
S 3.515 3.075 1.365
S 1.988 1.025 8.160
S 5.230 1.025 4.265
S 7.197 3.075 1.261

---

19.
10
Lattice="4.301 -4.712 0.000 4.301 4.712 0.000 -3.760 0.000 7.736" Properties=species:S:1:pos:R:3 comment="La2Er2Cd PBE optimized geometry" delta_e_f_ev_per_atom=-0.05 pbc="T T T"
La -0.196 0.000 3.341
La -0.864 0.000 6.782
La 5.706 0.000 0.954
La 5.038 0.000 4.396
Er 2.602 1.726 2.150
Er 2.240 1.726 5.586
Er 2.602 -1.726 2.150
Er 2.240 -1.726 5.586
Cd 4.301 3.201 0.000
Cd 4.301 -3.201 0.000

---

20.
4
Lattice="3.746 0.000 0.000 0.000 3.746 0.000 0.000 0.000 7.956" Properties=species:S:1:pos:R:3 comment="LaErCd2 PBE optimized geometry" delta_e_f_ev_per_atom=-0.32 pbc="T T T"
La 0.000 0.000 0.000
Er 0.000 0.000 3.978
Cd 1.873 1.873 2.200
Cd 1.873 1.873 5.756